(1)
## TbEuAlCd (PBE-GGA)

Data for a geometry-optimized TbEuAlCd structure.

Cell and atoms, written as POSCAR:
```
TbEuAlCd
1.0
7.5475 0.0000 0.0000
0.0000 7.5475 0.0000
0.0000 0.0000 7.5475
Tb Eu Al Cd
4 4 4 4
direct
0.0000 0.0000 0.0000 Tb
0.0000 0.5000 0.5000 Tb
0.5000 0.0000 0.5000 Tb
0.5000 0.5000 0.0000 Tb
0.0000 0.0000 0.5000 Eu
0.0000 0.5000 0.0000 Eu
0.5000 0.0000 0.0000 Eu
0.5000 0.5000 0.5000 Eu
0.2500 0.2500 0.2500 Al
0.2500 0.7500 0.7500 Al
0.7500 0.2500 0.7500 Al
0.7500 0.7500 0.2500 Al
0.2500 0.2500 0.7500 Cd
0.2500 0.7500 0.2500 Cd
0.7500 0.2500 0.2500 Cd
0.7500 0.7500 0.7500 Cd
```

=====

(2)
## In2AgRu (PBE-GGA)

Data for a geometry-optimized In2AgRu structure.

Cell and atoms, written as POSCAR:
```
In2AgRu
1.0
6.6804 0.0000 0.0000
0.0000 6.6804 0.0000
0.0000 0.0000 6.6804
In Ag Ru
8 4 4
direct
0.0000 0.0000 0.0000 In
0.0000 0.5000 0.5000 In
0.2500 0.2500 0.2500 In
0.2500 0.7500 0.7500 In
0.5000 0.0000 0.5000 In
0.5000 0.5000 0.0000 In
0.7500 0.2500 0.7500 In
0.7500 0.7500 0.2500 In
0.0000 0.0000 0.5000 Ag
0.0000 0.5000 0.0000 Ag
0.5000 0.0000 0.0000 Ag
0.5000 0.5000 0.5000 Ag
0.2500 0.2500 0.7500 Ru
0.2500 0.7500 0.2500 Ru
0.7500 0.2500 0.2500 Ru
0.7500 0.7500 0.7500 Ru
```

=====

Which formation energy belongs to each record? In order, -292, 363 meV per atom.
Which total DFT energy (no corrections) belongs to each record? In order, -82.9, -64.6 eV for the cell shown.